No. 1
Crystalline Pm2Nd4TmTh at its relaxed geometry. Source: Alexandria, functional PBE.

## Properties
space group	No. 10
formation energy from the elements	136	meV/atom
uncorrected energy	-4.9220	eV per atom

abc: 6.0956 6.0886 9.5072
angles: 50.29 90.00 90.00
Closest atoms and distances in Å follow each position.
Fractional coordinates of all 8 atoms:
Pm: 0.0000 0.0000 0.0000  8 Nd 3.53-3.54, 2 Tm 3.66
Pm: 0.5000 0.0000 0.5000  8 Nd 3.56-3.57, 2 Th 3.66
Nd: 0.0000 0.7463 0.7541  4 Pm 3.53-3.57, 2 Th 3.54, 2 Tm 3.57, 2 Nd 3.60-3.72
Nd: 0.0000 0.2537 0.2459  4 Pm 3.53-3.57, 2 Th 3.54, 2 Tm 3.57, 2 Nd 3.60-3.72
Nd: 0.5000 0.7534 0.2466  2 Th 3.54, 4 Pm 3.54-3.57, 2 Tm 3.57, 2 Nd 3.61-3.71
Nd: 0.5000 0.2466 0.7534  2 Th 3.54, 4 Pm 3.54-3.57, 2 Tm 3.57, 2 Nd 3.61-3.71
Tm: 0.0000 0.5000 0.5000  8 Nd 3.57, 2 Pm 3.66
Th: 0.5000 0.5000 0.0000  8 Nd 3.54, 2 Pm 3.66

=====

No. 2
Crystalline Pm4Nd2TmTh at its relaxed geometry. Source: Alexandria, functional PBE.

## Properties
space group	No. 10
formation energy from the elements	136	meV/atom
uncorrected energy	-4.9178	eV per atom

abc: 6.0773 6.0721 9.4962
angles: 50.33 90.00 90.00
Closest atoms and distances in Å follow each position.
Fractional coordinates of all 8 atoms:
Pm: 0.0000 0.7469 0.7533  4 Nd 3.53-3.56, 2 Th 3.53, 2 Tm 3.55-3.56, 2 Pm 3.61-3.70
Pm: 0.0000 0.2531 0.2467  4 Nd 3.53-3.56, 2 Th 3.53, 2 Tm 3.55-3.56, 2 Pm 3.61-3.70
Pm: 0.5000 0.7528 0.2472  2 Th 3.53-3.54, 4 Nd 3.54-3.56, 2 Tm 3.56, 2 Pm 3.61-3.70
Pm: 0.5000 0.2472 0.7528  2 Th 3.53-3.54, 4 Nd 3.54-3.56, 2 Tm 3.56, 2 Pm 3.61-3.70
Nd: 0.0000 0.0000 0.0000  8 Pm 3.53-3.54, 2 Tm 3.65-3.66
Nd: 0.5000 0.0000 0.5000  8 Pm 3.55-3.56, 2 Th 3.65
Tm: 0.0000 0.5000 0.5000  8 Pm 3.55-3.56, 2 Nd 3.65-3.66
Th: 0.5000 0.5000 0.0000  8 Pm 3.53-3.54, 2 Nd 3.65

=====

No. 3
Crystalline Pm3NdTm6Th2 at its relaxed geometry. Source: Alexandria, functional PBE.

## Properties
space group	No. 12
formation energy from the elements	26	meV/atom
uncorrected energy	-5.0309	eV per atom

abc: 6.1897 6.1897 11.6625
angles: 95.10 95.10 120.00
Closest atoms and distances in Å follow each position.
Fractional coordinates of all 12 atoms:
Pm: 0.1662 0.8338 0.5000  6 Tm 3.55-3.58, 6 Pm 3.56-3.58
Pm: 0.8338 0.1662 0.5000  6 Tm 3.55-3.58, 6 Pm 3.56-3.58
Pm: 0.5000 0.5000 0.5000  6 Tm 3.55-3.58, 6 Pm 3.57-3.58
Nd: 0.0000 0.0000 0.0000  6 Tm 3.52, 6 Th 3.57
Tm: 0.9177 0.5795 0.7536  2 Th 3.49, 1 Nd 3.52, 6 Tm 3.55-3.63, 3 Pm 3.55-3.58
Tm: 0.7441 0.7441 0.2468  2 Th 3.49, 1 Nd 3.52, 6 Tm 3.55-3.63, 3 Pm 3.55-3.57
Tm: 0.0823 0.4205 0.2464  2 Th 3.49, 1 Nd 3.52, 6 Tm 3.55-3.63, 3 Pm 3.55-3.58
Tm: 0.5795 0.9177 0.7536  2 Th 3.49, 1 Nd 3.52, 6 Tm 3.55-3.63, 3 Pm 3.55-3.58
Tm: 0.2559 0.2559 0.7532  2 Th 3.49, 1 Nd 3.52, 6 Tm 3.55-3.63, 3 Pm 3.55-3.57
Tm: 0.4205 0.0823 0.2464  2 Th 3.49, 1 Nd 3.52, 6 Tm 3.55-3.63, 3 Pm 3.55-3.58
Th: 0.3334 0.6666 0.0000  6 Tm 3.49, 3 Th 3.57, 3 Nd 3.57
Th: 0.6666 0.3334 0.0000  6 Tm 3.49, 3 Th 3.57, 3 Nd 3.57

=====

No. 4
Crystalline Pm3NdTmTh at its relaxed geometry. Source: Alexandria, functional PBE.

## Properties
space group	No. 11
formation energy from the elements	31	meV/atom
uncorrected energy	-5.1204	eV per atom

abc: 5.1204 8.0970 10.8427
angles: 116.55 90.00 90.00
Closest atoms and distances in Å follow each position.
Fractional coordinates of all 12 atoms:
Pm: 0.7500 0.8658 0.0453  1 Tm 3.52, 3 Th 3.53-3.55, 3 Nd 3.62-3.71, 5 Pm 3.62-3.76
Pm: 0.2500 0.1342 0.9547  1 Tm 3.52, 3 Th 3.53-3.55, 3 Nd 3.62-3.71, 5 Pm 3.62-3.76
Pm: 0.2500 0.6293 0.4561  3 Tm 3.59-3.61, 1 Th 3.59, 5 Pm 3.61-3.72, 3 Nd 3.62-3.68
Pm: 0.7500 0.3707 0.5439  3 Tm 3.59-3.61, 1 Th 3.59, 5 Pm 3.61-3.72, 3 Nd 3.62-3.68
Pm: 0.7500 0.3851 0.2054  3 Th 3.53-3.55, 1 Tm 3.53, 6 Pm 3.61-3.76, 2 Nd 3.72
Pm: 0.2500 0.6149 0.7946  3 Th 3.53-3.55, 1 Tm 3.53, 6 Pm 3.61-3.76, 2 Nd 3.72
Nd: 0.2500 0.1214 0.2928  3 Tm 3.59-3.61, 8 Pm 3.62-3.72, 1 Th 3.62
Nd: 0.7500 0.8786 0.7072  3 Tm 3.59-3.61, 8 Pm 3.62-3.72, 1 Th 3.62
Tm: 0.2500 0.1271 0.6274  5 Pm 3.52-3.61, 3 Nd 3.59-3.61, 2 Th 3.62, 2 Tm 3.65
Tm: 0.7500 0.8729 0.3726  5 Pm 3.52-3.61, 3 Nd 3.59-3.61, 2 Th 3.62, 2 Tm 3.65
Th: 0.2500 0.6219 0.1226  7 Pm 3.53-3.59, 2 Th 3.58, 1 Nd 3.62, 2 Tm 3.62
Th: 0.7500 0.3781 0.8774  7 Pm 3.53-3.59, 2 Th 3.58, 1 Nd 3.62, 2 Tm 3.62

=====

No. 5
Crystalline PmNd2Y5Th at its relaxed geometry. Source: Alexandria, functional PBE.

## Properties
space group	No. 140
formation energy from the elements	277	meV/atom
uncorrected energy	-5.7262	eV per atom

abc: 8.7638 8.7638 9.9482
angles: 116.13 116.13 90.00
Closest atoms and distances in Å follow each position.
Fractional coordinates of all 18 atoms:
Pm: 0.2500 0.7500 0.5000  4 Y 3.14
Pm: 0.7500 0.2500 0.5000  4 Y 3.14
Nd: 0.1163 0.3837 0.0000  1 Nd 2.88, 2 Y 3.03
Nd: 0.6163 0.1163 0.0000  1 Nd 2.88, 2 Y 3.03
Nd: 0.3837 0.8837 0.0000  1 Nd 2.88, 2 Y 3.03
Nd: 0.8837 0.6163 0.0000  1 Nd 2.88, 2 Y 3.03
Y: 0.9270 0.4270 0.2777  1 Nd 3.03, 1 Pm 3.14
Y: 0.6493 0.1493 0.7223  1 Nd 3.03, 1 Pm 3.14
Y: 0.0730 0.5730 0.7223  1 Nd 3.03, 1 Pm 3.14
Y: 0.1493 0.0730 0.7223  1 Nd 3.03, 1 Pm 3.14
Y: 0.5730 0.6493 0.7223  1 Nd 3.03, 1 Pm 3.14
Y: 0.8507 0.9270 0.2777  1 Nd 3.03, 1 Pm 3.14
Y: 0.4270 0.3507 0.2777  1 Nd 3.03, 1 Pm 3.14
Y: 0.3507 0.8507 0.2777  1 Nd 3.03, 1 Pm 3.14
Y: 0.5000 0.5000 0.0000  4 Nd 3.51, 8 Y 3.81, 2 Th 3.89
Y: 0.0000 0.0000 0.0000  4 Nd 3.51, 8 Y 3.81, 2 Th 3.89
Th: 0.2500 0.2500 0.5000  10 Y 3.58-3.89
Th: 0.7500 0.7500 0.5000  10 Y 3.58-3.89

=====

No. 6
Crystalline Pm2NdYTh at its relaxed geometry. Source: Alexandria, functional PBE.

## Properties
space group	No. 13
formation energy from the elements	300	meV/atom
uncorrected energy	-5.3305	eV per atom

abc: 6.4921 8.6075 6.4207
angles: 97.79 90.00 90.00
Closest atoms and distances in Å follow each position.
Fractional coordinates of all 10 atoms:
Pm: 0.6903 0.6862 0.7945  1 Th 3.16, 1 Pm 3.18, 1 Nd 3.48, 1 Y 3.51
Pm: 0.6903 0.3138 0.7055  1 Th 3.16, 1 Pm 3.18, 1 Nd 3.48, 1 Y 3.51
Pm: 0.3097 0.6862 0.2945  1 Th 3.16, 1 Pm 3.18, 1 Nd 3.48, 1 Y 3.51
Pm: 0.3097 0.3138 0.2055  1 Th 3.16, 1 Pm 3.18, 1 Nd 3.48, 1 Y 3.51
Nd: 0.0000 0.0000 0.0000  2 Nd 3.21, 2 Th 3.34, 2 Pm 3.48
Nd: 0.0000 0.0000 0.5000  2 Nd 3.21, 2 Th 3.34, 2 Pm 3.48
Y: 0.1730 0.5000 0.7500  8 Pm 3.51-3.75, 2 Y 3.92
Y: 0.8270 0.5000 0.2500  8 Pm 3.51-3.75, 2 Y 3.92
Th: 0.5495 0.0000 0.2500  2 Pm 3.16, 2 Th 3.27, 2 Nd 3.34
Th: 0.4505 0.0000 0.7500  2 Pm 3.16, 2 Th 3.27, 2 Nd 3.34

=====

No. 7
Crystalline Pm2Nd3Y6Th at its relaxed geometry. Source: Alexandria, functional PBE.

## Properties
space group	No. 12
formation energy from the elements	20	meV/atom
uncorrected energy	-5.8145	eV per atom

abc: 6.2748 6.2748 11.8763
angles: 95.05 95.05 119.97
Closest atoms and distances in Å follow each position.
Fractional coordinates of all 12 atoms:
Pm: 0.3333 0.6667 0.0000  6 Y 3.58, 3 Pm 3.62, 3 Th 3.62
Pm: 0.6667 0.3333 0.0000  6 Y 3.58, 3 Pm 3.62, 3 Th 3.62
Nd: 0.1672 0.8328 0.5000  6 Y 3.61-3.63, 6 Nd 3.62-3.63
Nd: 0.8328 0.1672 0.5000  6 Y 3.61-3.63, 6 Nd 3.62-3.63
Nd: 0.5000 0.5000 0.5000  6 Y 3.61-3.63, 6 Nd 3.62-3.63
Y: 0.9173 0.5877 0.7525  1 Th 3.56, 2 Pm 3.58, 6 Y 3.58-3.65, 3 Nd 3.61-3.63
Y: 0.7533 0.7533 0.2475  1 Th 3.56, 2 Pm 3.58, 6 Y 3.58-3.65, 3 Nd 3.61-3.63
Y: 0.0827 0.4123 0.2475  1 Th 3.56, 2 Pm 3.58, 6 Y 3.58-3.65, 3 Nd 3.61-3.63
Y: 0.5877 0.9173 0.7525  1 Th 3.56, 2 Pm 3.58, 6 Y 3.58-3.65, 3 Nd 3.61-3.63
Y: 0.2467 0.2467 0.7525  1 Th 3.56, 2 Pm 3.58, 6 Y 3.58-3.65, 3 Nd 3.61-3.63
Y: 0.4123 0.0827 0.2475  1 Th 3.56, 2 Pm 3.58, 6 Y 3.58-3.65, 3 Nd 3.61-3.63
Th: 0.0000 0.0000 0.0000  6 Y 3.56, 6 Pm 3.62

=====

No. 8
Crystalline PmNd3Y6Th2 at its relaxed geometry. Source: Alexandria, functional PBE.

## Properties
space group	No. 12
formation energy from the elements	22	meV/atom
uncorrected energy	-6.0349	eV per atom

abc: 6.2635 6.2635 11.8453
angles: 95.07 95.07 119.98
Closest atoms and distances in Å follow each position.
Fractional coordinates of all 12 atoms:
Pm: 0.0000 0.0000 0.0000  6 Y 3.56, 6 Th 3.62
Nd: 0.1662 0.8338 0.5000  6 Nd 3.61-3.62, 6 Y 3.62-3.64
Nd: 0.8338 0.1662 0.5000  6 Nd 3.61-3.62, 6 Y 3.62-3.64
Nd: 0.5000 0.5000 0.5000  6 Y 3.61-3.64, 6 Nd 3.61-3.62
Y: 0.9180 0.5798 0.7548  2 Th 3.53, 1 Pm 3.56, 6 Y 3.59-3.67, 3 Nd 3.62-3.64
Y: 0.7440 0.7440 0.2455  2 Th 3.53, 1 Pm 3.56, 6 Y 3.59-3.67, 3 Nd 3.61-3.63
Y: 0.0820 0.4202 0.2452  2 Th 3.53, 1 Pm 3.56, 6 Y 3.59-3.67, 3 Nd 3.62-3.64
Y: 0.5798 0.9180 0.7548  2 Th 3.53, 1 Pm 3.56, 6 Y 3.59-3.67, 3 Nd 3.62-3.64
Y: 0.2560 0.2560 0.7545  2 Th 3.53, 1 Pm 3.56, 6 Y 3.59-3.67, 3 Nd 3.61-3.63
Y: 0.4202 0.0820 0.2452  2 Th 3.53, 1 Pm 3.56, 6 Y 3.59-3.67, 3 Nd 3.62-3.64
Th: 0.3334 0.6666 0.0000  6 Y 3.53, 3 Th 3.61-3.62, 3 Pm 3.62
Th: 0.6666 0.3334 0.0000  6 Y 3.53, 3 Th 3.61-3.62, 3 Pm 3.62

=====

- What is the uncorrected energy in the fifth record?
  -5.7262 eV per atom